Material: LiV3Zn2O8
Method: DFT, PBE+U
State: relaxed

Summary:
The space group is C2/c. As for the energy relative to the lowest polymorph listed for this composition: 2 meV per atom.

a = 5.964 Å, b = 5.964 Å, c = 10.414 Å
α = 107.11°, β = 107.11°, γ = 60.14°
Sites, in units of the cell vectors:
Li 0.000 0.500 0.000
Li 0.500 0.000 0.500
V 0.000 0.000 0.000
V 0.000 0.000 0.500
V 0.250 0.750 0.250
V 0.500 0.500 0.000
V 0.500 0.500 0.500
V 0.750 0.250 0.750
Zn 0.069 0.572 0.691
Zn 0.428 0.931 0.809
Zn 0.572 0.069 0.191
Zn 0.931 0.428 0.309
O 0.086 0.130 0.872
O 0.130 0.086 0.372
O 0.146 0.626 0.374
O 0.154 0.629 0.894
O 0.371 0.846 0.606
O 0.374 0.410 0.126
O 0.374 0.854 0.126
O 0.410 0.374 0.626
O 0.590 0.626 0.374
O 0.626 0.146 0.874
O 0.626 0.590 0.874
O 0.629 0.154 0.394
O 0.846 0.371 0.106
O 0.854 0.374 0.626
O 0.870 0.914 0.628
O 0.914 0.870 0.128